[1]
VASP calculation (PBE-GGA) on a relaxed structure of PrTh2As3.

a b c (Å): 7.3992 7.3992 7.3992
angles (deg): 146.48 131.89 59.91
Fractional coordinates of all 6 atoms:
As  0.5000  0.0000  0.5000
Th  0.6654  0.6654  0.0000
Pr  0.0000  0.0000  0.0000
Th  0.3346  0.3346  0.0000
As  0.1698  0.6698  0.5000
As  0.8302  0.3302  0.5000

Space group: No. 71
E in eV per atom: -7.04

[2]
VASP calculation (PBE-GGA) on a relaxed structure of ZrPAuO.

a b c (Å): 4.0681 5.9972 5.5939
angles (deg): 90.00 90.00 90.00
Fractional coordinates of all 8 atoms:
Zr  0.5000  0.7105  0.4022
Au  0.0000  0.0799  0.4886
Au  0.0000  0.9201  0.9886
P  0.5000  0.2634  0.4110
O  0.0000  0.6674  0.4522
P  0.5000  0.7366  0.9110
O  0.0000  0.3326  0.9522
Zr  0.5000  0.2895  0.9022

Energy relative to the lowest polymorph listed for this composition in meV/atom: 126
Space group: No. 26
E in eV per atom: -6.73

[3]
VASP calculation (PBE-GGA) on a relaxed structure of MgTaOs2.

a b c (Å): 4.3458 4.3458 8.2145
angles (deg): 90.00 90.00 120.00
Fractional coordinates of all 8 atoms:
Ta  0.3333  0.6667  0.2500
Ta  0.6667  0.3333  0.7500
Os  0.3333  0.6667  0.6023
Os  0.6667  0.3333  0.3977
Mg  0.0000  0.0000  0.0000
Os  0.6667  0.3333  0.1023
Os  0.3333  0.6667  0.8977
Mg  0.0000  0.0000  0.5000

Space group: No. 194
E in eV per atom: -8.85

[4]
VASP calculation (PBE-GGA) on a relaxed structure of Li2Zn2Ga2PdAu.

a b c (Å): 4.3689 4.3689 6.2066
angles (deg): 90.00 90.00 90.00
Fractional coordinates of all 8 atoms:
Pd  0.5000  0.5000  0.5000
Ga  0.0000  0.5000  0.2630
Li  0.5000  0.5000  0.0000
Au  0.0000  0.0000  0.0000
Zn  0.5000  0.0000  0.2578
Li  0.0000  0.0000  0.5000
Zn  0.0000  0.5000  0.7422
Ga  0.5000  0.0000  0.7370

Space group: No. 115
E in eV per atom: -3.05

[5]
VASP calculation (PBE-GGA) on a relaxed structure of NdAlAsPd2.

a b c (Å): 4.5169 4.5169 9.6086
angles (deg): 90.00 90.00 90.00
Fractional coordinates of all 10 atoms:
Nd  0.5000  0.0000  0.2405
Pd  0.0000  0.5000  0.1252
Pd  0.0000  0.0000  0.5000
Al  0.5000  0.0000  0.6172
As  0.5000  0.5000  0.0000
Pd  0.5000  0.0000  0.8748
Al  0.0000  0.5000  0.3828
As  0.0000  0.0000  0.0000
Nd  0.0000  0.5000  0.7595
Pd  0.5000  0.5000  0.5000

Energy relative to the lowest polymorph listed for this composition in meV/atom: 99
Space group: No. 129
E in eV per atom: -5.55

[6]
VASP calculation (PBE-GGA) on a relaxed structure of CsGd2CuSe3S.

a b c (Å): 7.5701 7.5701 14.5515
angles (deg): 90.00 90.00 148.35
Fractional coordinates of all 16 atoms:
Se  0.9255  0.0745  0.2500
Se  0.7565  0.2435  0.8939
S  0.5000  0.5000  0.0000
Cu  0.6659  0.3341  0.7500
Se  0.0745  0.9255  0.7500
Gd  0.8717  0.1283  0.4394
Gd  0.1283  0.8717  0.5606
S  0.5000  0.5000  0.5000
Cs  0.3881  0.6119  0.7500
Gd  0.8717  0.1283  0.0606
Cu  0.3341  0.6659  0.2500
Se  0.2435  0.7565  0.3939
Se  0.7565  0.2435  0.6061
Cs  0.6119  0.3881  0.2500
Se  0.2435  0.7565  0.1061
Gd  0.1283  0.8717  0.9394

Energy relative to the lowest polymorph listed for this composition in meV/atom: 27
Space group: No. 63
E in eV per atom: -5.07